(1)
{
  "formula": "In2AgCl8",
  "functional": "PBE",
  "state": "optimized geometry",
  "magmom_total_mub_per_cell": 0.975,
  "e_form_raw_mev_per_atom": -744,
  "e_above_lowest_polymorph_ev_per_atom": 0.0857,
  "cell": [[8.281, 0.000, 0.000], [0.000, 6.514, -3.761], [0.000, 0.000, 7.522]],
  "species": ["In", "In", "Ag", "Cl", "Cl", "Cl", "Cl", "Cl", "Cl", "Cl", "Cl"],
  "fractional_positions": [[0.787, 0.667, 0.333], [0.213, 0.333, 0.667], [0.500, 0.000, 0.000], [0.928, 0.333, 0.667], [0.072, 0.667, 0.333], [0.294, 0.155, 0.311], [0.706, 0.845, 0.689], [0.706, 0.311, 0.155], [0.294, 0.689, 0.845], [0.294, 0.155, 0.845], [0.706, 0.845, 0.155]]
}



(2)
{
  "formula": "InAg2Cl4",
  "functional": "PBE",
  "state": "optimized geometry",
  "magmom_total_mub_per_cell": 0.514,
  "e_form_raw_mev_per_atom": -578,
  "cell": [[5.989, 0.000, 0.000], [0.000, 5.989, 0.000], [-2.995, -2.995, 6.165]],
  "species": ["In", "Ag", "Ag", "Cl", "Cl", "Cl", "Cl"],
  "fractional_positions": [[0.500, 0.500, 0.000], [0.750, 0.250, 0.500], [0.250, 0.750, 0.500], [0.879, 0.372, 0.251], [0.372, 0.879, 0.251], [0.628, 0.628, 0.749], [0.121, 0.121, 0.749]]
}



(3)
{
  "formula": "InAgCl4",
  "functional": "PBE",
  "state": "optimized geometry",
  "magmom_total_mub_per_cell": 0.000,
  "e_form_raw_mev_per_atom": -865,
  "e_above_lowest_polymorph_ev_per_atom": 0.0000,
  "cell": [[6.258, 0.000, 0.000], [0.000, 6.258, 0.000], [0.000, 0.000, 10.702]],
  "species": ["In", "In", "Ag", "Ag", "Cl", "Cl", "Cl", "Cl", "Cl", "Cl", "Cl", "Cl"],
  "fractional_positions": [[0.000, 0.500, 0.250], [0.500, 0.000, 0.750], [0.000, 0.000, 0.000], [0.000, 0.000, 0.500], [0.280, 0.228, 0.877], [0.720, 0.772, 0.877], [0.228, 0.280, 0.377], [0.280, 0.772, 0.623], [0.720, 0.228, 0.623], [0.228, 0.720, 0.123], [0.772, 0.280, 0.123], [0.772, 0.720, 0.377]]
}



In order of appearance, Fermi-level density of states = 10.07 4.05 0.00 states/eV per cell.
In order of appearance, DFT total energy = -2.844 -2.839 -3.028 eV/atom.